# Pr3Sn4Au2 PBE optimized geometry
data_Pr3Sn4Au2
_chemical_formula_sum 'Pr6 Sn8 Au4'
_space_group_name_H-M_alt 'C 1 2/m 1'
_space_group_IT_number 12
_space_group_name_Hall '-C 2y'
_cell_length_a 11.4902
_cell_length_b 4.8157
_cell_length_c 9.2065
_cell_angle_alpha 90.00
_cell_angle_beta 109.28
_cell_angle_gamma 90.00
loop_
_atom_site_label
_atom_site_fract_x
_atom_site_fract_y
_atom_site_fract_z
Pr1 0.0000 0.0000 0.0000
Pr2 0.1421 0.5000 0.6848
Sn1 0.0761 0.0000 0.3961
Sn2 0.2039 0.5000 0.0589
Au1 0.1725 0.5000 0.3435
# DFT formation energy (eV per atom): -0.714